Record 1
Here is crystalline LaNbN2O at its relaxed geometry from OQMD. Energies are from PBE.

Output
SG: No. 1
Total DFT energy (no corrections) in eV/atom: -9.140

The structure in CIF format:
```
data_LaNbN2O
_cell_length_a 5.7801
_cell_length_b 8.1022
_cell_length_c 17.2866
_cell_angle_alpha 90.02
_cell_angle_beta 90.03
_cell_angle_gamma 90.08
_symmetry_space_group_name_H-M 'P 1'
_symmetry_Int_Tables_number 1
loop_
_symmetry_equiv_pos_as_xyz
'x,y,z'
loop_
_atom_site_label
_atom_site_fract_x
_atom_site_fract_y
_atom_site_fract_z
La1 0.0000 0.0000 0.0000
La2 0.9999 0.0121 0.3345
La3 0.4193 0.4996 0.8352
La4 0.4418 0.5002 0.4958
La5 0.4550 0.4916 0.1667
La6 0.4728 0.0026 0.8337
La7 0.4984 0.0036 0.1685
La8 0.5089 0.0038 0.5047
La9 0.9235 0.5020 0.6750
La10 0.9389 0.4920 0.0025
La11 0.9458 0.5012 0.3349
La12 0.9960 0.0056 0.6702
Nb1 0.4433 0.7421 0.6746
Nb2 0.4463 0.2694 0.6669
Nb3 0.4540 0.7470 0.3293
Nb4 0.4659 0.2501 0.9924
Nb5 0.4734 0.7414 0.0057
Nb6 0.4857 0.2538 0.3369
Nb7 0.9349 0.7435 0.8395
Nb8 0.9480 0.2423 0.8310
Nb9 0.9589 0.2609 0.5117
Nb10 0.9735 0.7455 0.1626
Nb11 0.9754 0.2426 0.1734
Nb12 0.9786 0.7523 0.5088
N1 0.1626 0.7178 0.0731
N2 0.1785 0.2949 0.7398
N3 0.1868 0.7138 0.7422
N4 0.2363 0.2160 0.2424
N5 0.2434 0.7942 0.2444
N6 0.2452 0.7977 0.5713
N7 0.2468 0.2147 0.9089
N8 0.2575 0.2082 0.5698
N9 0.4659 0.5039 0.9817
N10 0.4790 0.5096 0.3147
N11 0.4813 0.5067 0.6358
N12 0.6577 0.7274 0.1000
N13 0.6743 0.3003 0.7617
N14 0.6791 0.2804 0.4296
N15 0.6829 0.7136 0.7597
N16 0.7326 0.2144 0.2630
N17 0.7368 0.8013 0.9306
N18 0.7440 0.2124 0.9331
N19 0.7589 0.2105 0.5975
N20 0.9348 0.0058 0.1456
N21 0.9352 0.5073 0.1942
N22 0.9509 0.0069 0.8104
N23 0.9623 0.5086 0.5255
N24 0.9849 0.5102 0.8643
O1 0.1590 0.2972 0.0745
O2 0.1610 0.7178 0.4061
O3 0.1714 0.3061 0.4049
O4 0.2455 0.8111 0.9088
O5 0.4167 0.0067 0.3684
O6 0.4195 0.0091 0.0337
O7 0.4405 0.0025 0.6934
O8 0.6517 0.7260 0.4367
O9 0.6527 0.2864 0.0996
O10 0.7418 0.8122 0.2745
O11 0.7558 0.8146 0.5944
O12 0.9417 0.0024 0.4710
```



Record 2
Here is crystalline LaNbN2O at its relaxed geometry from OQMD. Energies are from PBE.

Output
SG: No. 14
Total DFT energy (no corrections) in eV/atom: -9.133

The structure in CIF format:
```
data_LaNbN2O
_cell_length_a 8.0656
_cell_length_b 8.1983
_cell_length_c 11.4130
_cell_angle_alpha 90.00
_cell_angle_beta 134.80
_cell_angle_gamma 90.00
_symmetry_space_group_name_H-M 'P 1'
_symmetry_Int_Tables_number 1
loop_
_symmetry_equiv_pos_as_xyz
'x,y,z'
loop_
_atom_site_label
_atom_site_fract_x
_atom_site_fract_y
_atom_site_fract_z
La1 0.0297 0.2409 0.0147
La2 0.0297 0.2591 0.5147
La3 0.4673 0.7416 0.4832
La4 0.4673 0.7584 0.9832
La5 0.5327 0.2416 0.0168
La6 0.5327 0.2584 0.5168
La7 0.9703 0.7409 0.4853
La8 0.9703 0.7591 0.9853
Nb1 0.0192 0.0122 0.2645
Nb2 0.0192 0.4878 0.7645
Nb3 0.4896 0.5107 0.2369
Nb4 0.4896 0.9893 0.7369
Nb5 0.5104 0.0107 0.2631
Nb6 0.5104 0.4893 0.7631
Nb7 0.9808 0.5122 0.2355
Nb8 0.9808 0.9878 0.7355
N1 0.0085 0.7474 0.2187
N2 0.0085 0.7526 0.7187
N3 0.1930 0.5341 0.9993
N4 0.1930 0.9659 0.4993
N5 0.2928 0.0273 0.2916
N6 0.2928 0.4727 0.7916
N7 0.4812 0.2439 0.2056
N8 0.4812 0.2561 0.7056
N9 0.5188 0.7439 0.2944
N10 0.5188 0.7561 0.7944
N11 0.7072 0.5273 0.2084
N12 0.7072 0.9727 0.7084
N13 0.8070 0.0341 0.5007
N14 0.8070 0.4659 0.0007
N15 0.9915 0.2474 0.2813
N16 0.9915 0.2526 0.7813
O1 0.2110 0.5441 0.4992
O2 0.2110 0.9559 0.9992
O3 0.3053 0.0393 0.8057
O4 0.3053 0.4607 0.3057
O5 0.6947 0.5393 0.6943
O6 0.6947 0.9607 0.1943
O7 0.7890 0.0441 0.0008
O8 0.7890 0.4559 0.5008
```



Record 3
Here is crystalline LaNbN2O at its relaxed geometry from OQMD. Energies are from PBE.

Output
SG: No. 1
Total DFT energy (no corrections) in eV/atom: -9.136

The structure in CIF format:
```
data_LaNbN2O
_cell_length_a 8.0544
_cell_length_b 8.0713
_cell_length_c 8.2523
_cell_angle_alpha 89.92
_cell_angle_beta 89.99
_cell_angle_gamma 89.81
_symmetry_space_group_name_H-M 'P 1'
_symmetry_Int_Tables_number 1
loop_
_symmetry_equiv_pos_as_xyz
'x,y,z'
loop_
_atom_site_label
_atom_site_fract_x
_atom_site_fract_y
_atom_site_fract_z
La1 0.0000 0.0000 0.0000
La2 0.0000 0.0049 0.5083
La3 0.4939 0.9684 0.5259
La4 0.4958 0.9847 0.0219
La5 0.4970 0.4849 0.5240
La6 0.5004 0.4775 0.0261
La7 0.9896 0.4971 0.0114
La8 0.9959 0.4990 0.4983
Nb1 0.2369 0.7362 0.2558
Nb2 0.2438 0.7243 0.7601
Nb3 0.2498 0.2448 0.2580
Nb4 0.2530 0.2424 0.7574
Nb5 0.7344 0.2305 0.2630
Nb6 0.7425 0.2281 0.7542
Nb7 0.7517 0.7482 0.2609
Nb8 0.7563 0.7383 0.7566
N1 0.9995 0.7745 0.3054
N2 0.2005 0.4837 0.2441
N3 0.2024 0.2548 0.5244
N4 0.2281 0.7777 0.0244
N5 0.2703 0.1971 0.0255
N6 0.2829 0.7169 0.5278
N7 0.2912 0.4875 0.8037
N8 0.4930 0.1929 0.7413
N9 0.4983 0.2834 0.3001
N10 0.7001 0.9824 0.3001
N11 0.7113 0.7016 0.5254
N12 0.7197 0.2231 0.0273
N13 0.7613 0.7479 0.0237
N14 0.7910 0.2695 0.5253
N15 0.7920 0.9887 0.7484
N16 0.9935 0.6844 0.7532
O1 0.0012 0.1641 0.2486
O2 0.1786 0.9903 0.7486
O3 0.3098 0.9803 0.3020
O4 0.4911 0.8065 0.7930
O5 0.4998 0.6696 0.2513
O6 0.6817 0.4885 0.7978
O7 0.8152 0.4812 0.2518
O8 0.9924 0.2801 0.8220
```



Record 4
Here is crystalline LaNbN2O at its relaxed geometry from OQMD. Energies are from PBE.

Output
SG: No. 139
Total DFT energy (no corrections) in eV/atom: -9.065

The structure in CIF format:
```
data_LaNbN2O
_cell_length_a 7.0663
_cell_length_b 7.0663
_cell_length_c 7.0663
_cell_angle_alpha 109.98
_cell_angle_beta 109.98
_cell_angle_gamma 108.47
_symmetry_space_group_name_H-M 'P 1'
_symmetry_Int_Tables_number 1
loop_
_symmetry_equiv_pos_as_xyz
'x,y,z'
loop_
_atom_site_label
_atom_site_fract_x
_atom_site_fract_y
_atom_site_fract_z
La1 0.2151 0.2151 0.0000
La2 0.2500 0.7500 0.5000
La3 0.7500 0.2500 0.5000
La4 0.7849 0.7849 0.0000
Nb1 0.2603 0.2603 0.5206
Nb2 0.2603 0.7397 0.0000
Nb3 0.7397 0.2603 0.0000
Nb4 0.7397 0.7397 0.4794
N1 0.0000 0.0000 0.5000
N2 0.0000 0.5000 0.0000
N3 0.2182 0.5000 0.7183
N4 0.5000 0.0000 0.0000
N5 0.5000 0.2182 0.7183
N6 0.5000 0.5000 0.5000
N7 0.5000 0.7817 0.2818
N8 0.7817 0.5000 0.2818
O1 0.0000 0.2236 0.2236
O2 0.0000 0.7764 0.7764
O3 0.2236 0.0000 0.2236
O4 0.7764 0.0000 0.7764
```



Record 5
Here is crystalline La2NdNO2 at its relaxed geometry from OQMD. Energies are from PBE.

Output
SG: No. 164
Total DFT energy (no corrections) in eV/atom: -7.843

The structure in CIF format:
```
data_La2NdNO2
_cell_length_a 3.6210
_cell_length_b 3.6210
_cell_length_c 8.8874
_cell_angle_alpha 90.00
_cell_angle_beta 90.00
_cell_angle_gamma 120.00
_symmetry_space_group_name_H-M 'P 1'
_symmetry_Int_Tables_number 1
loop_
_symmetry_equiv_pos_as_xyz
'x,y,z'
loop_
_atom_site_label
_atom_site_fract_x
_atom_site_fract_y
_atom_site_fract_z
La1 0.3333 0.6667 0.3350
La2 0.6667 0.3333 0.6650
Nd1 0.0000 0.0000 0.0000
N1 0.0000 0.0000 0.5000
O1 0.3333 0.6667 0.8493
O2 0.6667 0.3333 0.1507
```



Record 6
Here is crystalline LaNdOs2N2O2 at its relaxed geometry from OQMD. Energies are from PBE.

Output
SG: No. 99
Total DFT energy (no corrections) in eV/atom: -8.537

The structure in CIF format:
```
data_LaNdOs2N2O2
_cell_length_a 3.8560
_cell_length_b 3.8560
_cell_length_c 8.0608
_cell_angle_alpha 90.00
_cell_angle_beta 90.00
_cell_angle_gamma 90.00
_symmetry_space_group_name_H-M 'P 1'
_symmetry_Int_Tables_number 1
loop_
_symmetry_equiv_pos_as_xyz
'x,y,z'
loop_
_atom_site_label
_atom_site_fract_x
_atom_site_fract_y
_atom_site_fract_z
La1 0.0000 0.0000 0.0000
Nd1 0.5000 0.5000 0.6835
Os1 0.0000 0.5000 0.3447
Os2 0.5000 0.0000 0.3447
N1 0.0000 0.0000 0.4582
N2 0.5000 0.5000 0.2297
O1 0.0000 0.5000 0.8384
O2 0.5000 0.0000 0.8384
```



Record 7
Here is crystalline LaPmNdNO2 at its relaxed geometry from OQMD. Energies are from PBE.

Output
SG: No. 156
Total DFT energy (no corrections) in eV/atom: -7.841

The structure in CIF format:
```
data_LaPmNdNO2
_cell_length_a 3.5821
_cell_length_b 3.5821
_cell_length_c 8.7954
_cell_angle_alpha 90.00
_cell_angle_beta 90.00
_cell_angle_gamma 120.00
_symmetry_space_group_name_H-M 'P 1'
_symmetry_Int_Tables_number 1
loop_
_symmetry_equiv_pos_as_xyz
'x,y,z'
loop_
_atom_site_label
_atom_site_fract_x
_atom_site_fract_y
_atom_site_fract_z
La1 0.0000 0.0000 0.0000
Pm1 0.6667 0.3333 0.3377
Nd1 0.3333 0.6667 0.6615
N1 0.0000 0.0000 0.4960
O1 0.3333 0.6667 0.1703
O2 0.6667 0.3333 0.8326
```



Record 8
Here is crystalline LaNd3Se3N4 at its relaxed geometry from OQMD. Energies are from PBE.

Output
SG: No. 38
Total DFT energy (no corrections) in eV/atom: -6.672

The structure in CIF format:
```
data_LaNd3Se3N4
_cell_length_a 8.1242
_cell_length_b 7.1762
_cell_length_c 7.1762
_cell_angle_alpha 33.33
_cell_angle_beta 90.00
_cell_angle_gamma 90.00
_symmetry_space_group_name_H-M 'P 1'
_symmetry_Int_Tables_number 1
loop_
_symmetry_equiv_pos_as_xyz
'x,y,z'
loop_
_atom_site_label
_atom_site_fract_x
_atom_site_fract_y
_atom_site_fract_z
La1 0.0000 0.0000 0.0000
Nd1 0.2427 0.3183 0.3183
Nd2 0.5000 0.9861 0.9861
Nd3 0.7573 0.3183 0.3183
Se1 0.0000 0.6825 0.6825
Se2 0.3282 0.6424 0.6424
Se3 0.6718 0.6424 0.6424
N1 0.0000 0.4133 0.4133
N2 0.2446 0.9052 0.9052
N3 0.5000 0.3954 0.3954
N4 0.7554 0.9052 0.9052
```